(1)
Here is an optimized crystal structure of Pu2Sb4Au from the Alexandria database. Energies are from PBE-GGA.

Unit cell a=4.416 b=4.416 c=9.528 alpha=90.00 beta=90.00 gamma=90.00
Positions (direct):
Pu: 0.500 0.000 0.756
Pu: 0.000 0.500 0.244
Sb: 0.500 0.000 0.177
Sb: 0.000 0.500 0.823
Sb: 0.500 0.500 0.500
Sb: 0.000 0.000 0.500
Au: 0.500 0.500 0.000

## Properties
raw formation energy: -0.480 eV/atom
D(E_F): 21.18 states/eV/f.u.


(2)
Here is an optimized crystal structure of Zn2TeAu from the Alexandria database. Energies are from PBE-GGA.

Unit cell a=6.883 b=6.883 c=6.883 alpha=147.06 beta=151.36 gamma=44.20
Positions (direct):
Au: 0.465 0.465 0.000
Zn: 0.014 0.014 0.000
Zn: 0.317 0.817 0.500
Te: 0.705 0.205 0.500

## Properties
raw formation energy: -0.023 eV/atom
D(E_F): 1.52 states/eV/f.u.


(3)
Here is an optimized crystal structure of AlCuSe from the Alexandria database. Energies are from PBE-GGA.

Unit cell a=4.829 b=4.829 c=4.829 alpha=137.85 beta=137.81 gamma=61.16
Positions (direct):
Se: 0.655 0.655 0.000
Cu: 0.348 0.348 0.000
Al: 0.997 0.997 0.000

## Properties
raw formation energy: 0.079 eV/atom
D(E_F): 0.80 states/eV/f.u.
E above lowest polymorph: 237.6 meV per atom


(4)
Here is an optimized crystal structure of LaGdZnBi from the Alexandria database. Energies are from PBE-GGA.

Unit cell a=5.442 b=5.442 c=5.442 alpha=60.00 beta=60.00 gamma=60.00
Positions (direct):
Zn: 0.500 0.500 0.500
Bi: 0.000 0.000 0.000
Gd: 0.750 0.750 0.750
La: 0.250 0.250 0.250

## Properties
formation enthalpy at 0 K: -485 meV per atom
D(E_F): 4.25 states/eV/f.u.